No. 1
CrP2Pt at its PBEsol-relaxed geometry. Source: Alexandria, functional SCAN.

abc: 5.8979 5.8979 5.8979
angles: 90.00 90.00 90.00
With the nearest neighbours (Å) after each atom.
Space group Fm-3m (No. 225)
Inequivalent atoms, fractional coordinates:
Cr 0.0000 0.0000 0.0000 x4  8 P 2.55
P 0.2500 0.2500 0.2500 x8  4 Cr 2.55, 4 Pt 2.55
Pt 0.0000 0.0000 0.5000 x4  8 P 2.55

Calculated formation energy   0.093 eV/atom
Energy relative to the lowest polymorph listed for this composition   0.198 eV/atom
Volume   12.82 A^3/atom

No. 2
CrP2Pt at its PBEsol-relaxed geometry. Source: Alexandria, functional SCAN.

abc: 2.9416 2.9416 5.7675
angles: 90.00 90.00 90.00
With the nearest neighbours (Å) after each atom.
Space group P4/mmm (No. 123)
Inequivalent atoms, fractional coordinates:
Cr 0.0000 0.0000 0.0000 x1  8 P 2.43
P 0.5000 0.5000 0.2185 x2  4 Cr 2.43, 1 P 2.52, 4 Pt 2.64
Pt 0.0000 0.0000 0.5000 x1  8 P 2.64, 2 Cr 2.88, 4 Pt 2.94

Calculated formation energy   -0.016 eV/atom
Energy relative to the lowest polymorph listed for this composition   0.089 eV/atom
Volume   12.48 A^3/atom

No. 3
CrPPt2 at its PBEsol-relaxed geometry. Source: Alexandria, functional SCAN.

abc: 3.8000 3.8000 7.8127
angles: 90.00 90.00 90.00
With the nearest neighbours (Å) after each atom.
Space group I-4m2 (No. 119)
Inequivalent atoms, fractional coordinates:
Cr 0.0000 0.0000 0.0000 x2  8 Pt 2.69-2.72, 4 P 2.72
P 0.0000 0.5000 0.2500 x2  8 Pt 2.69-2.72, 4 Cr 2.72
Pt 0.0000 0.0000 0.5000 x2  4 Cr 2.69, 4 Pt 2.72, 4 P 2.72
Pt 0.0000 0.5000 0.7500 x2  4 P 2.69, 4 Cr 2.72, 4 Pt 2.72

Calculated formation energy   -0.129 eV/atom
Volume   14.10 A^3/atom

No. 4
CrPPt2 at its PBEsol-relaxed geometry. Source: Alexandria, functional SCAN.

abc: 8.5672 3.4153 4.6045
angles: 90.00 122.44 90.00
With the nearest neighbours (Å) after each atom.
Space group Cm (No. 8)
Inequivalent atoms, fractional coordinates:
Cr 0.0000 0.0000 0.0000 x2  2 P 2.34
P 0.3017 0.0000 0.6456 x2  2 Cr 2.34, 4 Pt 2.35-2.37
Pt 0.1010 0.5000 0.5994 x2  2 P 2.35
Pt 0.3031 0.5000 0.2895 x2  2 P 2.37, 1 Cr 2.65

Calculated formation energy   -0.353 eV/atom
Volume   14.21 A^3/atom

No. 5
CrReP2 at its PBEsol-relaxed geometry. Source: Alexandria, functional SCAN.

abc: 2.8683 4.2422 4.0652
angles: 90.00 90.00 90.00
With the nearest neighbours (Å) after each atom.
Space group Pmm2 (No. 25)
Inequivalent atoms, fractional coordinates:
Cr 0.0000 0.0000 0.0000 x1  6 P 2.37-2.54
Re 0.5000 0.5000 0.2397 x1  6 P 2.40-2.49
P 0.0000 0.5000 0.7397 x1  2 Cr 2.37, 4 Re 2.49
P 0.5000 0.0000 0.5151 x1  2 Re 2.40, 4 Cr 2.44-2.54

Calculated formation energy   -0.170 eV/atom
Energy relative to the lowest polymorph listed for this composition   0.164 eV/atom
Volume   12.37 A^3/atom

No. 6
CrRe2P at its PBEsol-relaxed geometry. Source: Alexandria, functional SCAN.

abc: 2.7733 2.7733 23.8387
angles: 90.00 90.00 120.00
With the nearest neighbours (Å) after each atom.
Space group R-3m (No. 166, hexagonal axes)
Inequivalent atoms, fractional coordinates:
Cr 0.0000 0.0000 0.0000 x3  6 Re 2.59, 6 Cr 2.77
Re 0.0000 0.0000 0.2477 x6  3 P 2.51, 3 Cr 2.59, 6 Re 2.77
P 0.0000 0.0000 0.5000 x3  6 Re 2.51, 6 P 2.77

Calculated formation energy   0.186 eV/atom
Volume   13.23 A^3/atom

No. 7
CrReP2 at its PBEsol-relaxed geometry. Source: Alexandria, functional SCAN.

abc: 3.0467 3.0583 11.0391
angles: 90.00 90.00 90.00
With the nearest neighbours (Å) after each atom.
Space group Imm2 (No. 44)
Inequivalent atoms, fractional coordinates:
Cr 0.0000 0.0000 0.0000 x2  6 P 2.31-2.33
Re 0.0000 0.5000 0.7487 x2  6 P 2.40-2.42
P 0.0000 0.0000 0.5790 x2  4 Cr 2.33, 2 Re 2.42
P 0.0000 0.5000 0.3431 x2  2 Cr 2.31, 4 Re 2.40

Calculated formation energy   -0.334 eV/atom
Energy relative to the lowest polymorph listed for this composition   0.000 eV/atom
Volume   12.86 A^3/atom

No. 8
ZnCrRe2P at its PBEsol-relaxed geometry. Source: Alexandria, functional SCAN.

abc: 4.3809 4.3809 4.4327
angles: 90.00 90.00 90.00
With the nearest neighbours (Å) after each atom.
Space group P4/mmm (No. 123)
Inequivalent atoms, fractional coordinates:
Zn 0.0000 0.0000 0.0000 x1  2 Cr 2.22
Cr 0.0000 0.0000 0.5000 x1  4 Re 2.19, 2 Zn 2.22
Re 0.0000 0.5000 0.5000 x2  2 Cr 2.19
P 0.5000 0.5000 0.0000 x1  4 Zn 3.10, 8 Re 3.12

Calculated formation energy   1.755 eV/atom
Volume   17.01 A^3/atom

No. 9
CrPRh at its PBEsol-relaxed geometry. Source: Alexandria, functional SCAN.

abc: 5.5897 5.5897 5.5897
angles: 90.00 90.00 90.00
With the nearest neighbours (Å) after each atom.
Space group F-43m (No. 216)
Inequivalent atoms, fractional coordinates:
Cr 0.0000 0.0000 0.0000 x4  4 Rh 2.42
P 0.0000 0.0000 0.5000 x4  4 Rh 2.42
Rh 0.2500 0.2500 0.7500 x4  4 Cr 2.42, 4 P 2.42

Calculated formation energy   -0.366 eV/atom
Volume   14.55 A^3/atom

No. 10
CrP2Ru at its PBEsol-relaxed geometry. Source: Alexandria, functional SCAN.

abc: 7.2873 2.7994 4.8649
angles: 90.00 103.40 90.00
With the nearest neighbours (Å) after each atom.
Space group C2/m (No. 12)
Inequivalent atoms, fractional coordinates:
Cr 0.0000 0.0000 0.0000 x2  6 P 2.34
P 0.2469 0.5000 0.2222 x4  3 Cr 2.34, 3 Ru 2.46-2.49, 2 P 2.58
Ru 0.0000 0.5000 0.5000 x2  6 P 2.46-2.49

Calculated formation energy   -0.178 eV/atom
Energy relative to the lowest polymorph listed for this composition   0.177 eV/atom
Volume   12.07 A^3/atom

No. 11
CrP2Ru at its PBEsol-relaxed geometry. Source: Alexandria, functional SCAN.

abc: 2.8582 3.4666 4.9801
angles: 90.00 90.00 90.00
With the nearest neighbours (Å) after each atom.
Space group Pmm2 (No. 25)
Inequivalent atoms, fractional coordinates:
Cr 0.0000 0.0000 0.0000 x1  6 P 2.35-2.61
P 0.0000 0.0000 0.4757 x1  2 Cr 2.37-2.61, 4 Ru 2.38
P 0.5000 0.5000 0.1416 x1  4 Cr 2.35, 2 Ru 2.46-2.52
Ru 0.5000 0.5000 0.6356 x1  6 P 2.38-2.52

Calculated formation energy   -0.355 eV/atom
Energy relative to the lowest polymorph listed for this composition   0.000 eV/atom
Volume   12.34 A^3/atom

No. 12
CrPRu2 at its PBEsol-relaxed geometry. Source: Alexandria, functional SCAN.

abc: 4.1101 4.1101 2.9575
angles: 90.00 90.00 90.00
With the nearest neighbours (Å) after each atom.
Space group P4/mmm (No. 123)
Inequivalent atoms, fractional coordinates:
Cr 0.0000 0.0000 0.0000 x1  8 Ru 2.53
P 0.5000 0.5000 0.0000 x1  8 Ru 2.53
Ru 0.0000 0.5000 0.5000 x2  4 P 2.53, 4 Cr 2.53

Calculated formation energy   -0.239 eV/atom
Volume   12.49 A^3/atom

No. 13
CrPRu2 at its PBEsol-relaxed geometry. Source: Alexandria, functional SCAN.

abc: 2.8342 4.5395 7.8924
angles: 90.00 90.00 90.00
With the nearest neighbours (Å) after each atom.
Space group Cmm2 (No. 35)
Inequivalent atoms, fractional coordinates:
Cr 0.0000 0.0000 0.0000 x2  2 P 2.26, 2 Ru 2.46
P 0.0000 0.5000 0.2234 x2  2 Cr 2.26, 2 Ru 2.30
Ru 0.0000 0.0000 0.4527 x2  2 P 2.30
Ru 0.0000 0.5000 0.7449 x2  2 Cr 2.46, 6 Ru 2.68-2.71

Calculated formation energy   0.264 eV/atom
Volume   12.69 A^3/atom

No. 14
CrPRu2 at its PBEsol-relaxed geometry. Source: Alexandria, functional SCAN.

abc: 2.7698 2.7698 6.3026
angles: 90.00 90.00 90.00
With the nearest neighbours (Å) after each atom.
Space group P4mm (No. 99)
Inequivalent atoms, fractional coordinates:
Cr 0.0000 0.0000 0.0000 x1  4 P 2.36, 4 Ru 2.58
P 0.5000 0.5000 0.2090 x1  4 Cr 2.36, 4 Ru 2.42
Ru 0.0000 0.0000 0.4353 x1  4 P 2.42
Ru 0.5000 0.5000 0.7345 x1  4 Cr 2.58, 8 Ru 2.72-2.77

Calculated formation energy   -0.162 eV/atom
Volume   12.09 A^3/atom

No. 15
CrPRu2 at its PBEsol-relaxed geometry. Source: Alexandria, functional SCAN.

abc: 2.7872 2.7872 6.3114
angles: 90.00 90.00 90.00
With the nearest neighbours (Å) after each atom.
Space group P4/mmm (No. 123)
Inequivalent atoms, fractional coordinates:
Cr 0.0000 0.0000 0.0000 x1  8 Ru 2.63, 4 Cr 2.79
P 0.0000 0.0000 0.5000 x1  8 Ru 2.43
Ru 0.5000 0.5000 0.2749 x2  4 P 2.43, 4 Cr 2.63

Calculated formation energy   -0.143 eV/atom
Volume   12.26 A^3/atom

No. 16
CrPRuS2 at its PBEsol-relaxed geometry. Source: Alexandria, functional SCAN.

abc: 4.2572 4.2572 4.3643
angles: 90.00 90.00 90.00
With the nearest neighbours (Å) after each atom.
Space group P4/mmm (No. 123)
Inequivalent atoms, fractional coordinates:
Cr 0.0000 0.0000 0.0000 x1  4 S 2.13, 2 P 2.18
P 0.0000 0.0000 0.5000 x1  2 Cr 2.18
Ru 0.5000 0.5000 0.5000 x1  4 P 3.01, 8 S 3.05
S 0.0000 0.5000 0.0000 x2  2 Cr 2.13

Raw formation energy   0.884 eV per atom
Volume   15.82 A^3/atom

No. 17
Cr2PS at its PBEsol-relaxed geometry. Source: Alexandria, functional SCAN.

abc: 5.1837 5.1837 10.4105
angles: 90.00 90.00 90.00
With the nearest neighbours (Å) after each atom.
Space group I-42d (No. 122)
Inequivalent atoms, fractional coordinates:
Cr 0.2473 0.2500 0.1250 x8  2 S 2.24, 2 P 2.26
P 0.0000 0.0000 0.5000 x4  4 Cr 2.26
S 0.0000 0.0000 0.0000 x4  4 Cr 2.24

Raw formation energy   -0.371 eV per atom
Volume   17.48 A^3/atom

No. 18
CrPSeS2 at its PBEsol-relaxed geometry. Source: Alexandria, functional SCAN.

abc: 4.2385 4.2385 4.7816
angles: 90.00 90.00 90.00
With the nearest neighbours (Å) after each atom.
Space group P4/mmm (No. 123)
Inequivalent atoms, fractional coordinates:
Cr 0.0000 0.0000 0.0000 x1  4 S 2.12
P 0.0000 0.0000 0.5000 x1  2 Cr 2.39
Se 0.5000 0.5000 0.5000 x1  4 P 3.00, 8 S 3.19
S 0.0000 0.5000 0.0000 x2  2 Cr 2.12

Raw formation energy   0.412 eV per atom
Volume   17.18 A^3/atom

No. 19
ZnCrPS2 at its PBEsol-relaxed geometry. Source: Alexandria, functional SCAN.

abc: 4.3116 4.3116 4.6910
angles: 90.00 90.00 90.00
With the nearest neighbours (Å) after each atom.
Space group P4/mmm (No. 123)
Inequivalent atoms, fractional coordinates:
Zn 0.0000 0.0000 0.0000 x1  4 P 3.05, 8 S 3.19
Cr 0.5000 0.5000 0.5000 x1  4 S 2.16, 2 P 2.35
P 0.5000 0.5000 0.0000 x1  2 Cr 2.35
S 0.0000 0.5000 0.5000 x2  2 Cr 2.16

Raw formation energy   0.351 eV per atom
Volume   17.44 A^3/atom

No. 20
ZrCrPS2 at its PBEsol-relaxed geometry. Source: Alexandria, functional SCAN.

abc: 4.8554 4.8554 5.0250
angles: 90.00 90.00 90.00
With the nearest neighbours (Å) after each atom.
Space group P4/mmm (No. 123)
Inequivalent atoms, fractional coordinates:
Zr 0.0000 0.0000 0.0000 x1  4 S 2.43, 2 P 2.51
Cr 0.5000 0.5000 0.5000 x1  4 P 3.43, 8 S 3.49
P 0.0000 0.0000 0.5000 x1  2 Zr 2.51
S 0.0000 0.5000 0.0000 x2  2 Zr 2.43

Raw formation energy   -0.187 eV per atom
Volume   23.69 A^3/atom